(1)
K2TlZn (GGA-PBE, relaxed); formation energy from the elements = 0.10 eV/atom; D(E_F) = 4.3 states/eV/cell; relative energy among the computed polymorphs = 0.39 eV/f.u.; SG = F-43m, No. 216
1.0
-2.953 4.213 -2.581
-5.669 0.491 0.869
-2.067 4.385 3.104
K Tl Zn
2 1 1
Direct
0.000 0.000 0.000
0.250 0.250 0.250
0.500 0.500 0.500
0.750 0.750 0.750

=====

(2)
K2TlZn (GGA-PBE, relaxed); formation energy from the elements = 0.18 eV/atom; D(E_F) = 4.1 states/eV/cell; relative energy among the computed polymorphs = 0.72 eV/f.u.; SG = R-3m, No. 166
1.0
11.391 -0.055 -0.033
10.690 3.936 -0.033
10.690 1.879 3.459
K Tl Zn
2 1 1
Direct
0.003 0.003 0.003
0.497 0.497 0.497
0.250 0.250 0.250
0.750 0.750 0.750

=====

(3)
KTl2Zn (GGA-PBE, relaxed); formation energy from the elements = 0.00 eV/atom; D(E_F) = 1.8 states/eV/cell; relative energy among the computed polymorphs = 0.05 eV/f.u.; SG = P4/mmm, No. 123
1.0
3.687 0.000 0.000
0.000 3.687 0.000
0.000 0.000 8.550
K Tl Zn
1 2 1
Direct
0.500 0.500 0.750
0.000 0.000 0.055
0.000 0.000 0.445
0.500 0.500 0.250

=====

(4)
KTl2Zn (GGA-PBE, relaxed); formation energy from the elements = 0.15 eV/atom; D(E_F) = 3.7 states/eV/cell; relative energy among the computed polymorphs = 0.66 eV/f.u.; SG = I-42d, No. 122
1.0
5.594 0.000 0.000
0.000 5.594 0.000
2.797 2.797 9.840
K Tl Zn
2 4 2
Direct
0.500 0.500 0.000
0.250 0.750 0.500
0.766 0.125 0.250
0.984 0.625 0.250
0.375 0.234 0.750
0.875 0.016 0.750
0.000 0.000 0.000
0.750 0.250 0.500

=====

(5)
KTl4Zn (GGA-PBE, relaxed); formation energy from the elements = 0.11 eV/atom; D(E_F) = 2.6 states/eV/cell; SG = F-43m, No. 216
1.0
0.000 4.638 4.638
4.638 0.000 4.638
4.638 4.638 0.000
K Tl Zn
1 4 1
Direct
0.000 0.000 0.000
0.873 0.376 0.376
0.376 0.376 0.873
0.376 0.873 0.376
0.376 0.376 0.376
0.750 0.750 0.750

=====

(6)
K4TlZn (GGA-PBE, relaxed); formation energy from the elements = 0.33 eV/atom; D(E_F) = 5.5 states/eV/cell; SG = F-43m, No. 216
1.0
0.000 5.379 5.379
5.379 0.000 5.379
5.379 5.379 0.000
K Tl Zn
4 1 1
Direct
0.874 0.375 0.375
0.375 0.375 0.874
0.375 0.874 0.375
0.375 0.375 0.375
0.750 0.750 0.750
0.000 0.000 0.000

=====

(7)
KTl2Zn (GGA-PBE, relaxed); formation energy from the elements = -0.01 eV/atom; D(E_F) = 1.1 states/eV/cell; relative energy among the computed polymorphs = 0.05 eV/f.u.; SG = P2/m, No. 10
1.0
4.363 0.000 0.000
0.000 3.487 0.022
0.000 1.995 7.964
K Tl Zn
1 2 1
Direct
0.500 0.750 0.750
0.000 0.062 0.055
0.000 0.438 0.445
0.500 0.250 0.250

=====

(8)
K2TlZn (GGA-PBE, relaxed); formation energy from the elements = 0.14 eV/atom; D(E_F) = 3.5 states/eV/cell; relative energy among the computed polymorphs = 0.53 eV/f.u.; SG = I4/mmm, No. 139
1.0
6.485 0.068 0.000
2.130 6.126 0.000
-4.308 -3.097 3.731
K Tl Zn
2 1 1
Direct
0.000 0.000 0.000
0.500 0.500 0.000
0.250 0.750 0.500
0.750 0.250 0.500

=====

(9)
KTl2Zn (GGA-PBE, relaxed); formation energy from the elements = 0.01 eV/atom; D(E_F) = 1.8 states/eV/cell; relative energy among the computed polymorphs = 0.13 eV/f.u.; SG = Immm, No. 71
1.0
-3.563 1.743 -4.955
1.024 -3.824 -4.960
-2.051 0.100 6.005
K Tl Zn
1 2 1
Direct
0.250 0.750 0.500
0.954 0.954 0.000
0.546 0.546 0.000
0.750 0.250 0.500

=====

(10)
KTl2Zn (GGA-PBE, relaxed); formation energy from the elements = 0.11 eV/atom; D(E_F) = 3.2 states/eV/cell; relative energy among the computed polymorphs = 0.50 eV/f.u.; SG = P4/mmm, No. 123
1.0
-1.791 4.168 1.975
-1.121 -2.453 4.162
4.485 1.059 1.833
K Tl Zn
1 2 1
Direct
0.500 0.000 0.500
0.000 0.000 0.000
0.000 0.500 0.500
0.500 0.500 0.000

=====

(11)
K2Tl2Zn (GGA-PBE, relaxed); formation energy from the elements = 0.10 eV/atom; D(E_F) = 4.2 states/eV/cell; relative energy among the computed polymorphs = 0.34 eV/f.u.; SG = I4/mmm, No. 139
1.0
-1.104 0.394 4.324
-1.469 -4.233 0.011
7.995 -5.134 4.831
K Tl Zn
2 2 1
Direct
0.401 0.401 0.197
0.599 0.599 0.803
0.750 0.250 0.500
0.250 0.750 0.500
0.000 0.000 0.000

=====

(12)
KTl2Zn (GGA-PBE, relaxed); formation energy from the elements = 0.03 eV/atom; D(E_F) = 1.3 states/eV/cell; relative energy among the computed polymorphs = 0.18 eV/f.u.; SG = Pm, No. 6
1.0
4.945 0.000 0.000
0.000 3.596 -0.009
0.000 1.838 6.967
K Tl Zn
1 2 1
Direct
0.500 0.697 0.731
0.000 0.042 0.041
0.500 0.427 0.261
0.000 0.333 0.468

=====

Number 1: uncorrected energy -1.36 eV per atom, magnetic moment 0.0 μB/cell. Number 2: uncorrected energy -1.28 eV per atom, magnetic moment 0.3 μB/cell. Number 3: uncorrected energy -1.78 eV per atom, magnetic moment 0.0 μB/cell. Number 4: uncorrected energy -1.63 eV per atom, magnetic moment 0.0 μB/cell. Number 5: uncorrected energy -1.86 eV per atom, magnetic moment 0.0 μB/cell. Number 6: uncorrected energy -1.01 eV per atom, magnetic moment 1.1 μB/cell. Number 7: uncorrected energy -1.78 eV per atom, magnetic moment 0.0 μB/cell. Number 8: uncorrected energy -1.32 eV per atom, magnetic moment 0.3 μB/cell. Number 9: uncorrected energy -1.76 eV per atom, magnetic moment 0.0 μB/cell. Number 10: uncorrected energy -1.67 eV per atom, magnetic moment 0.0 μB/cell. Number 11: uncorrected energy -1.54 eV per atom, magnetic moment 0.0 μB/cell. Number 12: uncorrected energy -1.75 eV per atom, magnetic moment 0.0 μB/cell.